Model a:
Density functional theory data (PBE) for a relaxed structure of PCS.

Summary:
M_tot   0.00 μB/atom

a = 4.1686 Å, b = 5.0089 Å, c = 6.3889 Å
α = 71.26°, β = 88.20°, γ = 89.96°
Element x y z (fractional)
C 0.2487 0.8891 0.6816
C 0.2488 0.1652 0.6817
S 0.0616 0.2438 0.9052
S 0.4364 0.4268 0.4582
P 0.9135 0.6662 0.8316
P 0.5842 0.7890 0.5317

---

Model b:
Density functional theory data (PBE) for a relaxed structure of PCS.

Summary:
M_tot   0.00 μB/atom

a = 5.5422 Å, b = 5.6557 Å, c = 5.8022 Å
α = 103.27°, β = 101.48°, γ = 113.44°
Element x y z (fractional)
P 0.2948 0.0895 0.4837
P 0.0176 0.1027 0.1548
C 0.1985 0.9023 0.1806
C 0.2840 0.4616 0.1875
S 0.1523 0.5978 0.9862
S 0.5510 0.6429 0.4456

---

Model c:
Density functional theory data (PBE) for a relaxed structure of PCS.

Summary:
M_tot   0.00 μB/atom

a = 4.5687 Å, b = 5.4434 Å, c = 5.7989 Å
α = 79.53°, β = 88.65°, γ = 67.22°
Element x y z (fractional)
C 0.0139 0.5456 0.2057
C 0.4850 0.0605 0.2097
S 0.3120 0.3817 0.0422
S 0.9262 0.3571 0.4484
P 0.2403 0.9523 0.4086
P 0.8825 0.9061 0.1240

---

Pick model a: it beats the second-best structure by 103 meV per atom.

---

Model a:
Density functional theory data (PBE) for a relaxed structure of SbPCS2.

Summary:
M_tot   0.00 μB/atom

a = 4.0545 Å, b = 4.9524 Å, c = 4.0545 Å
α = 90.00°, β = 90.00°, γ = 90.00°
Element x y z (fractional)
P 0.5000 0.5000 0.5000
S 0.5000 0.0000 0.0000
S 0.0000 0.0000 0.5000
Sb 0.0000 0.5000 0.0000
C 0.0000 0.0000 0.0000

---

Model b:
Density functional theory data (PBE) for a relaxed structure of SbPCS2.

Summary:
M_tot   0.02 μB/atom

a = 4.9909 Å, b = 4.9909 Å, c = 5.2446 Å
α = 90.00°, β = 90.00°, γ = 90.00°
Element x y z (fractional)
Sb 0.0000 0.0000 0.0000
S 0.5000 0.0000 0.0000
S 0.0000 0.5000 0.0000
C 0.5000 0.5000 0.5000
P 0.0000 0.0000 0.5000

---

Model c:
Density functional theory data (PBE) for a relaxed structure of SbPCS2.

Summary:
M_tot   0.00 μB/atom

a = 4.2763 Å, b = 4.2763 Å, c = 4.1747 Å
α = 90.00°, β = 90.00°, γ = 90.00°
Element x y z (fractional)
Sb 0.5000 0.5000 0.5000
S 0.5000 0.0000 0.0000
S 0.0000 0.5000 0.0000
P 0.0000 0.0000 0.5000
C 0.0000 0.0000 0.0000

---

Pick model c: it beats the second-best structure by 160 meV per atom.

---

Model a:
Density functional theory data (PBE) for a relaxed structure of ScPCS2.

Summary:
M_tot   0.00 μB/atom

a = 4.8142 Å, b = 4.8142 Å, c = 5.0609 Å
α = 90.00°, β = 90.00°, γ = 90.00°
Element x y z (fractional)
S 0.0000 0.5000 0.0000
S 0.5000 0.0000 0.0000
Sc 0.0000 0.0000 0.0000
C 0.5000 0.5000 0.5000
P 0.0000 0.0000 0.5000

---

Model b:
Density functional theory data (PBE) for a relaxed structure of ScPCS2.

Summary:
M_tot   0.00 μB/atom

a = 4.3061 Å, b = 4.3061 Å, c = 3.9062 Å
α = 90.00°, β = 90.00°, γ = 90.00°
Element x y z (fractional)
S 0.0000 0.5000 0.0000
S 0.5000 0.0000 0.0000
P 0.0000 0.0000 0.5000
C 0.0000 0.0000 0.0000
Sc 0.5000 0.5000 0.5000

---

Pick model b: it beats the second-best structure by 1107 meV per atom.

---

Model a:
Density functional theory data (PBE) for a relaxed structure of ScP2CS.

Summary:
M_tot   0.00 μB/atom

a = 3.8935 Å, b = 3.8935 Å, c = 4.9313 Å
α = 90.00°, β = 90.00°, γ = 90.00°
Element x y z (fractional)
S 0.0000 0.0000 0.5000
P 0.0000 0.5000 0.0000
P 0.5000 0.0000 0.0000
C 0.0000 0.0000 0.0000
Sc 0.5000 0.5000 0.5000

---

Model b:
Density functional theory data (PBE) for a relaxed structure of ScP2CS.

Summary:
M_tot   0.17 μB/atom

a = 4.9985 Å, b = 4.9985 Å, c = 4.7804 Å
α = 90.00°, β = 90.00°, γ = 90.00°
Element x y z (fractional)
P 0.0000 0.5000 0.0000
P 0.5000 0.0000 0.0000
C 0.5000 0.5000 0.5000
Sc 0.0000 0.0000 0.0000
S 0.0000 0.0000 0.5000

---

Pick model a: it beats the second-best structure by 1215 meV per atom.